A plane-wave DFT calculation with GGA-PBE was carried out for a relaxed structure of TlCdGaAg. Values from VASP.

## Properties
For the formation energy, the calculation gives 114 meV per atom. The total energy comes out at -2.1760 eV/atom. Its space group is No. 216.

The structure in Quantum ESPRESSO input format:
```
&SYSTEM
  ibrav = 0, nat = 4, ntyp = 4
/
ATOMIC_SPECIES
Tl 204.38 Tl.upf
Ag 107.87 Ag.upf
Cd 112.41 Cd.upf
Ga 69.72 Ga.upf
CELL_PARAMETERS angstrom
-4.551 -1.608 1.431
-1.069 -4.919 -0.073
-0.533 -2.525 4.323
ATOMIC_POSITIONS angstrom
Tl -1.538 -2.263 1.420
Ag 0.000 0.000 0.000
Cd -4.615 -6.789 4.260
Ga -3.076 -4.526 2.840
```